A geometry-optimized IrOsPb2 structure, computed with PBE-GGA.

```
4
Lattice="-4.511 -2.749 -2.218 0.203 -2.297 -5.245 3.088 0.108 4.825" Properties=species:S:1:pos:R:3 pbc="T T T"
Ir -2.154 -2.523 -3.732
Pb 0.569 -2.356 -2.076
Os -1.789 -2.582 -0.562
Pb 0.000 0.000 0.000
```

Computed properties:
As for the volume: 78.9 Å³/f.u. The calculation puts the density of states at the Fermi level at 5.9 states/eV/cell. Its formation energy is 0.973 eV per atom.

=====

A geometry-optimized IrOsPb2 structure, computed with PBE-GGA.

```
4
Lattice="6.345 0.001 0.004 3.725 5.137 -0.004 -4.440 -3.737 2.567" Properties=species:S:1:pos:R:3 pbc="T T T"
Os 2.457 2.136 1.281
Pb 3.198 -0.723 1.286
Pb 0.309 0.158 0.000
Ir 4.703 2.399 0.000
```

Computed properties:
As for the volume: 83.6 Å³/f.u. The calculation puts the density of states at the Fermi level at 4.6 states/eV/cell. Its formation energy is 0.769 eV per atom.

=====

A geometry-optimized Ir2OsPb structure, computed with PBE-GGA.

```
4
Lattice="9.477 -0.021 -0.012 9.038 2.851 -0.012 9.038 1.382 2.494" Properties=species:S:1:pos:R:3 pbc="T T T"
Pb 20.665 3.159 1.852
Ir 27.321 4.177 2.449
Ir 14.009 2.142 1.256
Os 6.888 1.053 0.617
```

Computed properties:
As for the volume: 68.2 Å³/f.u. The calculation puts the density of states at the Fermi level at 3.1 states/eV/cell. Its formation energy is 0.567 eV per atom.

=====

A geometry-optimized IrOsPb2 structure, computed with PBE-GGA.

```
4
Lattice="4.516 0.003 0.002 3.502 2.851 0.002 0.727 0.259 7.352" Properties=species:S:1:pos:R:3 pbc="T T T"
Pb 0.831 0.296 6.808
Os 6.553 2.333 5.026
Pb 2.119 0.754 2.397
Ir 4.340 1.545 4.156
```

Computed properties:
As for the volume: 94.6 Å³/f.u. The calculation puts the density of states at the Fermi level at 3.0 states/eV/cell. Its formation energy is 0.530 eV per atom.

=====

A geometry-optimized Ir2OsPb structure, computed with PBE-GGA.

```
4
Lattice="4.900 0.000 0.000 1.527 4.657 0.000 -3.214 -2.328 2.875" Properties=species:S:1:pos:R:3 pbc="T T T"
Ir 0.000 0.000 0.000
Os 0.763 2.328 1.438
Ir 3.214 2.328 0.000
Pb 2.450 0.000 1.438
```

Computed properties:
As for the volume: 65.6 Å³/f.u. The calculation puts the density of states at the Fermi level at 2.0 states/eV/cell. Its formation energy is 0.611 eV per atom.

=====

A geometry-optimized IrOsPb2 structure, computed with PBE-GGA.

```
8
Lattice="6.088 0.000 0.000 0.000 6.088 0.000 3.044 3.044 6.272" Properties=species:S:1:pos:R:3 pbc="T T T"
Os 3.044 3.044 0.000
Pb 4.557 1.522 1.568
Ir 6.088 3.044 3.136
Pb 1.531 4.566 1.568
Pb 7.610 7.601 4.704
Ir 0.000 0.000 0.000
Os 3.044 6.088 3.136
Pb 4.566 4.576 4.704
```

Computed properties:
As for the volume: 116.2 Å³/f.u. The calculation puts the density of states at the Fermi level at 9.6 states/eV/cell. Its formation energy is 1.410 eV per atom.

=====

A geometry-optimized IrOsPb2 structure, computed with PBE-GGA.

```
4
Lattice="2.994 0.000 0.000 0.000 3.633 0.000 0.000 0.000 8.328" Properties=species:S:1:pos:R:3 pbc="T T T"
Ir 0.000 0.000 4.635
Os 1.497 1.816 5.762
Pb 0.000 0.000 7.801
Pb 1.497 1.816 2.622
```

Computed properties:
As for the volume: 90.6 Å³/f.u. The calculation puts the density of states at the Fermi level at 2.8 states/eV/cell. Its formation energy is 0.468 eV per atom.

=====

A geometry-optimized IrOsPb2 structure, computed with PBE-GGA.

```
4
Lattice="4.732 0.005 -0.008 3.616 3.053 -0.008 1.123 0.412 5.445" Properties=species:S:1:pos:R:3 pbc="T T T"
Pb 4.734 1.735 2.725
Ir 2.368 0.868 1.357
Pb 1.125 0.412 5.434
Os 7.103 2.603 4.071
```

Computed properties:
As for the volume: 78.6 Å³/f.u. The calculation puts the density of states at the Fermi level at 3.2 states/eV/cell. Its formation energy is 0.897 eV per atom.

=====

A geometry-optimized Ir2OsPb structure, computed with PBE-GGA.

```
4
Lattice="3.628 0.000 0.000 0.000 2.813 -0.064 0.000 1.434 7.075" Properties=species:S:1:pos:R:3 pbc="T T T"
Ir 0.000 2.417 0.362
Os 1.814 1.062 1.753
Pb 1.814 3.186 5.258
Ir 0.000 2.520 3.079
```

Computed properties:
As for the volume: 72.5 Å³/f.u. The calculation puts the density of states at the Fermi level at 3.5 states/eV/cell. Its formation energy is 0.500 eV per atom.

=====

A geometry-optimized IrOs2Pb2 structure, computed with PBE-GGA.

```
10
Lattice="6.724 0.000 0.000 0.000 6.724 0.000 0.000 0.000 4.451" Properties=species:S:1:pos:R:3 pbc="T T T"
Pb 2.120 1.242 2.225
Pb 1.242 4.604 2.225
Os 2.523 5.885 0.000
Os 4.201 0.839 0.000
Pb 5.482 2.120 2.225
Ir 3.362 3.362 0.000
Os 0.839 2.523 0.000
Ir 0.000 0.000 0.000
Pb 4.604 5.482 2.225
Os 5.885 4.201 0.000
```

Computed properties:
As for the volume: 100.6 Å³/f.u. The calculation puts the density of states at the Fermi level at 8.5 states/eV/cell. Its formation energy is 0.805 eV per atom.

=====

A geometry-optimized IrOsPb2 structure, computed with PBE-GGA.

```
4
Lattice="7.185 0.016 0.041 -2.887 3.938 -0.024 1.411 1.081 2.710" Properties=species:S:1:pos:R:3 pbc="T T T"
Pb 0.000 0.000 0.000
Ir -0.738 2.509 1.343
Pb 4.298 0.548 1.375
Os 2.149 1.977 0.008
```

Computed properties:
As for the volume: 76.6 Å³/f.u. The calculation puts the density of states at the Fermi level at 2.0 states/eV/cell. Its formation energy is 0.840 eV per atom.

=====

A geometry-optimized IrOsPb2 structure, computed with PBE-GGA.

```
4
Lattice="4.592 0.000 0.000 0.000 4.592 0.000 0.000 0.000 3.631" Properties=species:S:1:pos:R:3 pbc="T T T"
Ir 2.296 0.000 1.816
Pb 0.000 0.000 0.000
Pb 2.296 2.296 0.000
Os 0.000 2.296 1.816
```

Computed properties:
As for the volume: 76.6 Å³/f.u. The calculation puts the density of states at the Fermi level at 2.1 states/eV/cell. Its formation energy is 0.838 eV per atom.

=====

A geometry-optimized Ir2OsPb structure, computed with PBE-GGA.

```
4
Lattice="-0.893 -0.076 -2.716 0.639 -3.729 -0.106 -5.998 -1.084 2.002" Properties=species:S:1:pos:R:3 pbc="T T T"
Ir -1.702 -2.187 -0.885
Ir -0.208 -0.038 0.069
Pb -4.659 -2.721 0.102
Os -2.681 -0.485 0.895
```

Computed properties:
As for the volume: 69.4 Å³/f.u. The calculation puts the density of states at the Fermi level at 3.7 states/eV/cell. Its formation energy is 0.596 eV per atom.

=====

A geometry-optimized Ir2OsPb structure, computed with PBE-GGA.

```
4
Lattice="-1.740 2.021 1.100 -0.858 -1.851 2.039 6.200 2.621 4.987" Properties=species:S:1:pos:R:3 pbc="T T T"
Ir 2.841 1.201 2.286
Os 0.251 0.740 2.817
Ir 0.258 0.109 0.208
Pb 3.351 2.051 5.310
```

Computed properties:
As for the volume: 69.7 Å³/f.u. The calculation puts the density of states at the Fermi level at 4.5 states/eV/cell. Its formation energy is 0.454 eV per atom.

=====

A geometry-optimized Ir2OsPb structure, computed with PBE-GGA.

```
4
Lattice="-2.903 2.810 2.559 -4.146 0.177 2.378 1.661 -1.113 4.795" Properties=species:S:1:pos:R:3 pbc="T T T"
Ir 1.588 -1.071 4.684
Os -2.566 0.861 5.086
Ir -4.088 1.432 7.236
Pb -1.354 0.475 2.388
```

Computed properties:
As for the volume: 67.9 Å³/f.u. The calculation puts the density of states at the Fermi level at 3.0 states/eV/cell. Its formation energy is 0.546 eV per atom.

=====

A geometry-optimized Ir2OsPb structure, computed with PBE-GGA.

```
4
Lattice="9.538 0.015 0.009 9.092 2.882 0.009 9.092 1.414 2.511" Properties=species:S:1:pos:R:3 pbc="T T T"
Pb 20.758 3.228 1.894
Os 14.123 2.196 1.289
Ir 27.519 4.280 2.511
Ir 6.903 1.074 0.630
```

Computed properties:
As for the volume: 68.4 Å³/f.u. The calculation puts the density of states at the Fermi level at 4.7 states/eV/cell. Its formation energy is 0.691 eV per atom.

=====

A geometry-optimized Ir2OsPb structure, computed with PBE-GGA.

```
4
Lattice="6.315 0.462 -0.099 3.795 5.068 0.099 -4.488 -3.802 2.346" Properties=species:S:1:pos:R:3 pbc="T T T"
Pb 2.622 2.257 1.222
Os 5.342 2.922 0.000
Ir 3.074 -0.488 1.124
Ir 9.749 5.333 0.000
```

Computed properties:
As for the volume: 72.3 Å³/f.u. The calculation puts the density of states at the Fermi level at 3.7 states/eV/cell. Its formation energy is 0.680 eV per atom.

=====

A geometry-optimized Ir3OsPb structure, computed with PBE-GGA.

```
5
Lattice="4.802 0.000 0.000 0.000 4.802 0.000 0.000 0.000 4.802" Properties=species:S:1:pos:R:3 pbc="T T T"
Os 0.000 0.000 0.000
Ir 0.000 0.000 2.401
Pb 2.401 2.401 2.401
Ir 0.000 2.401 0.000
Ir 2.401 0.000 0.000
```

Computed properties:
As for the volume: 110.7 Å³/f.u. The calculation puts the density of states at the Fermi level at 5.4 states/eV/cell. Its formation energy is 1.433 eV per atom.

=====

A geometry-optimized IrOsPb2 structure, computed with PBE-GGA.

```
4
Lattice="-3.221 -1.320 -0.736 1.153 -1.216 -2.863 2.741 -6.761 0.129" Properties=species:S:1:pos:R:3 pbc="T T T"
Ir -0.637 -2.654 -1.052
Pb 1.948 -3.994 -1.364
Os 1.310 -6.643 -2.419
Pb 2.740 -6.756 0.126
```

Computed properties:
As for the volume: 76.7 Å³/f.u. The calculation puts the density of states at the Fermi level at 2.6 states/eV/cell. Its formation energy is 0.845 eV per atom.

=====

A geometry-optimized Ir2OsPb structure, computed with PBE-GGA.

```
4
Lattice="5.710 0.003 -0.001 2.980 4.871 0.001 -3.700 -3.586 2.460" Properties=species:S:1:pos:R:3 pbc="T T T"
Pb 1.812 1.861 1.230
Os 3.177 -0.573 1.230
Ir 4.525 2.538 0.000
Ir 8.510 4.773 0.000
```

Computed properties:
As for the volume: 68.4 Å³/f.u. The calculation puts the density of states at the Fermi level at 4.6 states/eV/cell. Its formation energy is 0.758 eV per atom.

=====

A geometry-optimized Ir2OsPb structure, computed with PBE-GGA.

```
4
Lattice="-2.532 3.370 2.401 -4.661 -1.306 -0.321 3.861 -2.577 1.408" Properties=species:S:1:pos:R:3 pbc="T T T"
Ir 0.000 0.000 0.000
Ir -2.198 -1.426 1.063
Pb -1.134 0.912 2.425
Os -3.597 1.032 1.040
```

Computed properties:
As for the volume: 65.6 Å³/f.u. The calculation puts the density of states at the Fermi level at 2.4 states/eV/cell. Its formation energy is 0.630 eV per atom.

=====

A geometry-optimized Ir2OsPb structure, computed with PBE-GGA.

```
4
Lattice="-2.777 0.631 0.719 0.021 -2.166 1.984 2.567 5.053 5.489" Properties=species:S:1:pos:R:3 pbc="T T T"
Os 1.196 2.353 2.556
Ir 0.065 0.129 0.140
Ir -0.715 0.538 2.769
Pb 0.548 3.024 5.470
```

Computed properties:
As for the volume: 68.1 Å³/f.u. The calculation puts the density of states at the Fermi level at 5.0 states/eV/cell. Its formation energy is 0.616 eV per atom.

=====

A geometry-optimized IrOsPb2 structure, computed with PBE-GGA.

```
4
Lattice="3.248 0.000 0.000 0.000 5.608 0.011 0.000 3.765 4.329" Properties=species:S:1:pos:R:3 pbc="T T T"
Os 0.000 1.882 2.164
Ir 1.624 4.686 2.170
Pb 1.624 2.804 0.005
Pb 0.000 0.000 0.000
```

Computed properties:
As for the volume: 78.7 Å³/f.u. The calculation puts the density of states at the Fermi level at 3.1 states/eV/cell. Its formation energy is 0.887 eV per atom.

=====

A geometry-optimized Ir2OsPb structure, computed with PBE-GGA.

```
4
Lattice="-0.319 4.495 1.890 -2.214 0.058 -4.356 -2.507 -0.709 1.265" Properties=species:S:1:pos:R:3 pbc="T T T"
Pb -2.361 -0.326 -1.545
Ir -1.266 2.277 -1.233
Ir 0.000 0.000 0.000
Os -1.413 1.893 1.577
```

Computed properties:
As for the volume: 65.9 Å³/f.u. The calculation puts the density of states at the Fermi level at 4.6 states/eV/cell. Its formation energy is 0.626 eV per atom.

=====

A geometry-optimized IrOsPb2 structure, computed with PBE-GGA.

```
4
Lattice="-6.100 -1.992 8.938 -6.706 -4.574 7.428 -4.211 -4.377 9.174" Properties=species:S:1:pos:R:3 pbc="T T T"
Ir -8.313 -5.346 12.477
Os -12.960 -8.334 19.451
Pb -3.942 -2.535 5.916
Pb -0.311 -0.200 0.466
```

Computed properties:
As for the volume: 87.6 Å³/f.u. The calculation puts the density of states at the Fermi level at 3.7 states/eV/cell. Its formation energy is 0.652 eV per atom.

=====

A geometry-optimized Ir2Os2Pb structure, computed with PBE-GGA.

```
5
Lattice="3.972 0.000 0.000 0.000 3.972 0.000 1.986 1.986 5.760" Properties=species:S:1:pos:R:3 pbc="T T T"
Os 3.972 3.972 4.552
Ir 1.986 3.972 2.880
Pb 0.000 0.000 0.000
Ir 3.972 1.986 2.880
Os 1.986 1.986 1.208
```

Computed properties:
As for the volume: 90.9 Å³/f.u. The calculation puts the density of states at the Fermi level at 5.7 states/eV/cell. Its formation energy is 0.661 eV per atom.

=====

A geometry-optimized IrOs2Pb2 structure, computed with PBE-GGA.

```
5
Lattice="4.097 0.000 0.000 0.000 4.097 0.000 2.048 2.048 6.193" Properties=species:S:1:pos:R:3 pbc="T T T"
Pb 2.048 4.097 3.097
Ir 0.000 0.000 0.000
Os 4.097 4.097 5.029
Os 2.048 2.048 1.164
Pb 4.097 2.048 3.097
```

Computed properties:
As for the volume: 103.9 Å³/f.u. The calculation puts the density of states at the Fermi level at 6.4 states/eV/cell. Its formation energy is 1.527 eV per atom.

=====

A geometry-optimized Ir2OsPb structure, computed with PBE-GGA.

```
4
Lattice="-1.597 0.197 -2.440 -4.004 -0.741 2.561 -0.442 4.696 0.669" Properties=species:S:1:pos:R:3 pbc="T T T"
Os -1.019 2.447 -0.885
Ir -2.801 -0.272 0.061
Ir 0.000 0.000 0.000
Pb -2.223 1.977 1.615
```

Computed properties:
As for the volume: 67.0 Å³/f.u. The calculation puts the density of states at the Fermi level at 4.8 states/eV/cell. Its formation energy is 0.783 eV per atom.

=====

A geometry-optimized Ir2OsPb structure, computed with PBE-GGA.

```
8
Lattice="5.938 0.000 0.000 0.000 5.938 0.000 2.969 2.969 5.710" Properties=species:S:1:pos:R:3 pbc="T T T"
Os 2.969 2.969 0.000
Ir 7.422 7.135 4.282
Os 2.969 5.938 2.855
Ir 4.166 1.484 1.427
Pb 0.000 0.000 0.000
Ir 4.453 4.740 4.282
Pb 5.938 2.969 2.855
Ir 1.772 4.453 1.427
```

Computed properties:
As for the volume: 100.7 Å³/f.u. The calculation puts the density of states at the Fermi level at 6.3 states/eV/cell. Its formation energy is 0.975 eV per atom.

=====

A geometry-optimized Ir2OsPb structure, computed with PBE-GGA.

```
4
Lattice="-3.014 1.746 -3.371 -0.608 0.725 -4.754 -2.426 -4.190 -1.128" Properties=species:S:1:pos:R:3 pbc="T T T"
Os -4.536 -1.288 -6.940
Ir -3.065 -1.003 -4.592
Ir -2.385 -4.045 -1.163
Pb -1.512 -0.429 -2.313
```

Computed properties:
As for the volume: 66.9 Å³/f.u. The calculation puts the density of states at the Fermi level at 3.8 states/eV/cell. Its formation energy is 0.596 eV per atom.